Entry 1:
Material: H6S3F2
Method: DFT, PBE
State: relaxed

Properties
Total DFT energy (no corrections) (eV per atom): -3.93
Space-group type: C2/c (15)

Lattice parameters (Å, degrees): 9.505 6.461 10.326 80.92 62.60 42.64
Fractional positions:
H 0.896 0.051 0.857
H 0.266 0.226 0.852
H 0.529 0.743 0.933
H 0.196 0.551 0.357
H 0.795 0.243 0.433
H 0.656 0.726 0.352
H 0.104 0.949 0.143
H 0.734 0.774 0.148
H 0.471 0.257 0.067
H 0.804 0.449 0.643
H 0.205 0.757 0.567
H 0.344 0.274 0.648
S 0.073 0.017 0.760
S 0.404 0.250 0.750
S 0.850 0.483 0.740
S 0.150 0.517 0.260
S 0.927 0.983 0.240
S 0.596 0.750 0.250
F 0.369 0.891 0.027
F 0.714 0.391 0.527
F 0.631 0.109 0.973
F 0.286 0.609 0.473

***

Entry 2:
Material: Sm2CdSn2Rh5
Method: DFT, PBE
State: relaxed

Properties
Total DFT energy (no corrections) (eV per atom): -6.01
Energy relative to the elements (kJ/mol of atoms): -48.2
Space-group type: P4/mbm (127)

Lattice parameters (Å, degrees): 3.760 10.219 10.219 90.00 90.00 90.00
Fractional positions:
Sm 0.000 0.671 0.171
Sm 0.000 0.329 0.829
Sm 0.000 0.171 0.329
Sm 0.000 0.829 0.671
Cd 0.000 0.000 0.000
Cd 0.000 0.500 0.500
Sn 0.000 0.127 0.627
Sn 0.000 0.873 0.373
Sn 0.000 0.627 0.873
Sn 0.000 0.373 0.127
Rh 0.500 0.203 0.061
Rh 0.500 0.797 0.939
Rh 0.500 0.061 0.797
Rh 0.500 0.703 0.439
Rh 0.500 0.939 0.203
Rh 0.500 0.297 0.561
Rh 0.500 0.561 0.703
Rh 0.500 0.439 0.297
Rh 0.500 0.500 0.000
Rh 0.500 0.000 0.500